# 1
## CaMgCd4 (SCAN)

Data for CaMgCd4 at its PBEsol-relaxed geometry.

Unit cell a=5.803 b=5.803 c=5.803 alpha=60.00 beta=60.00 gamma=60.00
Fractional positions:
Ca 0.000 0.000 0.000
Mg 0.750 0.750 0.750
Cd 0.375 0.375 0.375
Cd 0.375 0.375 0.875
Cd 0.875 0.375 0.375
Cd 0.375 0.875 0.375

## Properties
Total DFT energy (no corrections): -22.9585 eV/atom
Fermi-level density of states: 0.247 states/eV per atom



# 2
## NaCu3H (SCAN)

Data for NaCu3H at its PBEsol-relaxed geometry.

Unit cell a=4.579 b=4.579 c=4.579 alpha=90.00 beta=90.00 gamma=90.00
Fractional positions:
Na 0.000 0.000 0.000
Cu 0.000 0.500 0.000
Cu 0.000 0.000 0.500
Cu 0.500 0.000 0.000
H 0.500 0.500 0.500

## Properties
Total DFT energy (no corrections): -8.7068 eV/atom
Fermi-level density of states: 0.433 states/eV per atom



# 3
## Bi3OsS (SCAN)

Data for Bi3OsS at its PBEsol-relaxed geometry.

Unit cell a=5.220 b=5.220 c=5.220 alpha=90.00 beta=90.00 gamma=90.00
Fractional positions:
S 0.500 0.500 0.500
Os 0.000 0.000 0.000
Bi 0.000 0.500 0.000
Bi 0.000 0.000 0.500
Bi 0.500 0.000 0.000

## Properties
Energy relative to the elements, uncorrected: 0.823 eV per atom
Fermi-level density of states: 1.067 states/eV per atom



# 4
## FeCoRe (SCAN)

Data for FeCoRe at its PBEsol-relaxed geometry.

Unit cell a=2.581 b=2.581 c=5.599 alpha=103.33 beta=103.33 gamma=90.00
Site moments in Bohr magnetons follow the coordinates.
Fractional positions:
Co 0.005 0.005 0.011  1.30
Fe 0.659 0.659 0.318  2.45
Re 0.335 0.335 0.671  -0.19

## Properties
Total DFT energy (no corrections): -35.3708 eV/atom
Fermi-level density of states: 0.949 states/eV per atom



# 5
## HfTi3Mo (SCAN)

Data for HfTi3Mo at its PBEsol-relaxed geometry.

Unit cell a=4.632 b=4.632 c=4.632 alpha=90.00 beta=90.00 gamma=90.00
Fractional positions:
Mo 0.000 0.000 0.000
Hf 0.500 0.500 0.500
Ti 0.000 0.500 0.000
Ti 0.000 0.000 0.500
Ti 0.500 0.000 0.000

## Properties
Total DFT energy (no corrections): -28.4572 eV/atom
Fermi-level density of states: 1.303 states/eV per atom



# 6
## Be2NbCo2 (SCAN)

Data for Be2NbCo2 at its PBEsol-relaxed geometry.

Unit cell a=2.573 b=6.393 c=6.393 alpha=90.00 beta=90.00 gamma=90.00
Fractional positions:
Be 0.000 0.384 0.884
Be 0.000 0.884 0.616
Be 0.000 0.616 0.116
Be 0.000 0.116 0.384
Nb 0.000 0.000 0.000
Nb 0.000 0.500 0.500
Co 0.500 0.175 0.675
Co 0.500 0.675 0.825
Co 0.500 0.825 0.325
Co 0.500 0.325 0.175

## Properties
Total DFT energy (no corrections): -15.4099 eV/atom
Fermi-level density of states: 0.837 states/eV per atom



# 7
## Na2Be2O3 (SCAN)

Data for Na2Be2O3 at its PBEsol-relaxed geometry.

Unit cell a=4.914 b=5.223 c=5.345 alpha=90.00 beta=113.34 gamma=90.00
Fractional positions:
Na 0.188 0.376 0.928
Na 0.188 0.124 0.428
Na 0.812 0.876 0.572
Na 0.812 0.624 0.072
Be 0.332 0.602 0.572
Be 0.668 0.102 0.928
Be 0.332 0.898 0.072
Be 0.668 0.398 0.428
O 0.000 0.500 0.500
O 0.000 0.000 0.000
O 0.411 0.852 0.793
O 0.589 0.352 0.707
O 0.411 0.648 0.293
O 0.589 0.148 0.207

## Properties
Energy relative to the elements, uncorrected: -2.353 eV per atom
Fermi-level density of states: 0.000 states/eV per atom



# 8
## MgCu2O4 (SCAN)

Data for MgCu2O4 at its PBEsol-relaxed geometry.

Unit cell a=5.367 b=5.993 c=5.367 alpha=63.40 beta=90.00 gamma=116.60
Fractional positions:
Mg 0.250 0.500 0.250
Mg 0.500 0.000 0.500
Cu 0.875 0.750 0.375
Cu 0.875 0.750 0.875
Cu 0.875 0.250 0.875
Cu 0.375 0.250 0.875
O 0.857 0.402 0.500
O 0.500 0.598 0.545
O 0.098 0.598 0.857
O 0.205 0.098 0.652
O 0.652 0.902 0.893
O 0.250 0.902 0.205
O 0.545 0.402 0.098
O 0.893 0.098 0.250

## Properties
Energy above the most stable polymorph in this dataset: 0.017 eV per atom
Energy relative to the elements, uncorrected: -1.328 eV per atom



no.,size of the total moment (μB per cell)
1,0.00
2,0.00
3,0.00
4,3.49
5,0.00
6,0.00
7,0.00
8,0.00